1.
The following is a DFT calculation (PBE) of crystalline Ta2ZnNi6 at its relaxed geometry.

The calculation puts the calculated density at 11257 kg/m3. The volume is 12.78 A^3/atom. Its total magnetization is 0.0 μB per formula unit. Its energy relative to the elements is -0.1339 eV/atom. The total energy is -6.76 eV/atom.

The structure belongs to space group P-3m1 (No. 164); the cell edges are 4.9594, 4.9594 and 5.3979 Å and the angles 90.00°, 90.00° and 120.00°. The asymmetric unit holds Ta at (0.3333, 0.6667, 0.1444), Zn at (0.0000, 0.0000, 0.0000) and Ni at (0.1758, 0.3517, 0.6732).


2.
The following is a DFT calculation (PBE) of crystalline Hg3IF5 at its relaxed geometry.

The calculation puts the calculated density at 7903 kg/m3. The volume is 19.23 A^3/atom. Its total magnetization is 0.0 μB per formula unit. Its formation energy from raw total energies is -1.205 eV/atom. The total energy is -2.52 eV/atom.

The structure belongs to space group P2/m (No. 10); the cell edges are 6.103, 4.399 and 13.065 Å and the angles 90.00°, 99.32° and 90.00°. The asymmetric unit holds Hg at (0.000, 0.000, 0.000), Hg at (0.047, 0.000, 0.650), Hg at (0.436, 0.500, 0.859), Hg at (0.500, 0.500, 0.500), I at (0.228, 0.000, 0.204), F at (0.227, 0.500, 0.385), F at (0.251, 0.000, 0.531), F at (0.255, 0.500, 0.696), F at (0.256, 0.500, 0.010) and F at (0.302, 0.000, 0.872).


3.
The following is a DFT calculation (PBE) of crystalline TaGaTc at its relaxed geometry.

The calculation puts the calculated density at 11229 kg/m3. The volume is 17.19 A^3/atom. Its total magnetization is 0.0 μB per formula unit. Its energy relative to the elements is -0.0116 eV/atom. The total energy is -8.43 eV/atom.

The structure belongs to space group Amm2 (No. 38); the cell edges are 3.158, 3.197 and 10.215 Å and the angles 90.00°, 90.00° and 90.00°. The asymmetric unit holds Ta at (0.000, 0.000, 0.000), Ga at (0.000, 0.000, 0.284) and Tc at (0.500, 0.000, 0.643).


4.
The following is a DFT calculation (PBE) of crystalline NbGeAs2 at its relaxed geometry.

The calculation puts the calculated density at 6945 kg/m3. The volume is 18.85 A^3/atom. Its total magnetization is 0.0 μB per formula unit. Its energy relative to the elements is -0.1188 eV/atom. The total energy is -6.12 eV/atom.

The structure belongs to space group Pm (No. 6); the cell edges are 5.192, 4.595 and 6.812 Å and the angles 90.00°, 111.86° and 90.00°. The asymmetric unit holds Nb at (0.000, 0.000, 0.000), Nb at (0.404, 0.500, 0.327), Ge at (0.553, 0.000, 0.104), Ge at (0.789, 0.000, 0.557), As at (0.203, 0.500, 0.897), As at (0.226, 0.000, 0.434), As at (0.651, 0.500, 0.782) and As at (0.865, 0.500, 0.245).


5.
The following is a DFT calculation (PBE) of crystalline Na3Hg4Pt at its relaxed geometry.

The calculation puts the calculated density at 9692 kg/m3. The volume is 22.84 A^3/atom. Its total magnetization is 0.0 μB per formula unit. Its energy relative to the elements is -0.1815 eV/atom. The total energy is -1.58 eV/atom.

The structure belongs to space group C2/m (No. 12); the cell edges are 15.986, 4.895 and 4.895 Å and the angles 90.00°, 107.45° and 90.00°. The asymmetric unit holds Na at (0.000, 0.000, 0.000), Na at (0.242, 0.500, 0.742), Hg at (0.115, 0.000, 0.615), Hg at (0.115, 0.500, 0.115) and Pt at (0.000, 0.500, 0.500).


6.
The following is a DFT calculation (PBE) of crystalline MgNi2Pt5 at its relaxed geometry.

The calculation puts the calculated density at 15879 kg/m3. The volume is 14.60 A^3/atom. Its total magnetization is 2.5 μB per formula unit. Its energy relative to the elements is -0.2808 eV/atom. The total energy is -5.70 eV/atom.

The structure belongs to space group Pbam (No. 55); the cell edges are 5.469, 10.986 and 3.888 Å and the angles 90.00°, 90.00° and 90.00°. The asymmetric unit holds Mg at (0.000, 0.000, 0.000), Ni at (0.236, 0.370, 0.500), Pt at (0.000, 0.500, 0.000), Pt at (0.010, 0.755, 0.000) and Pt at (0.242, 0.123, 0.500).


7.
The following is a DFT calculation (PBE) of crystalline LaSm3Dy3 at its relaxed geometry.

The calculation puts the calculated density at 7330 kg/m3. The volume is 34.87 A^3/atom. Its total magnetization is 0.0 μB per formula unit. Its energy relative to the elements is 0.2022 eV/atom. The total energy is -4.50 eV/atom.

The structure belongs to space group R-3 (No. 148, hexagonal axes); the cell edges are 8.7372, 8.7372 and 22.1543 Å and the angles 90.00°, 90.00° and 120.00°. The asymmetric unit holds La at (0.0000, 0.0000, 0.1520), Sm at (0.0528, 0.4485, 0.3798) and Dy at (0.0048, 0.2308, 0.5590).


8.
The following is a DFT calculation (PBE) of crystalline CaEuLuSc at its relaxed geometry.

The calculation puts the calculated density at 5282 kg/m3. The volume is 32.38 A^3/atom. Its total magnetization is 7.5 μB per formula unit. Its energy relative to the elements is 0.2099 eV/atom. The total energy is -5.57 eV/atom.

The structure belongs to space group F-43m (No. 216); the cell edges are 8.032, 8.032 and 8.032 Å and the angles 90.00°, 90.00° and 90.00°. The asymmetric unit holds Ca at (0.000, 0.000, 0.000), Eu at (0.250, 0.250, 0.750), Lu at (0.000, 0.000, 0.500) and Sc at (0.250, 0.250, 0.250).